Entry 1:
# CdAg2S2O6

An optimized crystal structure of CdAg2S2O6 (PBE-GGA, the Alexandria database).

Cell: 4.277 4.277 11.198 Å, 90.00 90.00 120.00°
Positions (direct):
Cd1 0.000 0.000 0.000
Ag1 0.333 0.667 0.634
Ag2 0.667 0.333 0.366
S1 0.333 0.667 0.413
S2 0.667 0.333 0.587
O1 0.193 0.385 0.840
O2 0.193 0.807 0.840
O3 0.615 0.807 0.840
O4 0.807 0.615 0.160
O5 0.807 0.193 0.160
O6 0.385 0.193 0.160

Summary:
Formation energy from raw total energies ... 0.716 eV/atom
SG ... No. 164
Mass density ... 4.6 Mg/m³

Entry 2:
# CdAgSO4

An optimized crystal structure of CdAgSO4 (PBE-GGA, the Alexandria database).

Cell: 6.195 6.195 5.337 Å, 125.48 125.48 90.00°
Positions (direct):
Cd1 0.500 0.500 0.000
Ag1 0.000 0.000 0.000
S1 0.250 0.750 0.500
O1 0.246 0.030 0.779
O2 0.251 0.754 0.221
O3 0.533 0.749 0.779
O4 0.970 0.467 0.221

Summary:
Formation energy from raw total energies ... -0.877 eV/atom
SG ... No. 82
Mass density ... 4.5 Mg/m³

Entry 3:
# CdAg2SO4

An optimized crystal structure of CdAg2SO4 (PBE-GGA, the Alexandria database).

Cell: 5.721 5.721 5.721 Å, 116.77 105.95 105.95°
Positions (direct):
Cd1 0.500 0.250 0.750
Ag1 0.500 0.750 0.250
Ag2 0.000 0.000 0.000
S1 0.000 0.500 0.500
O1 0.761 0.565 0.493
O2 0.928 0.197 0.435
O3 0.072 0.507 0.269
O4 0.239 0.731 0.803

Summary:
Formation energy from raw total energies ... -0.653 eV/atom
SG ... No. 82
Mass density ... 4.9 Mg/m³

Entry 4:
# CdAgS2O8

An optimized crystal structure of CdAgS2O8 (PBE-GGA, the Alexandria database).

Cell: 4.983 4.983 7.907 Å, 71.63 71.63 60.00°
Positions (direct):
Cd1 0.000 0.000 0.000
Ag1 0.500 0.500 0.500
S1 0.248 0.248 0.256
S2 0.752 0.752 0.744
O1 0.180 0.180 0.459
O2 0.546 0.283 0.191
O3 0.820 0.820 0.541
O4 0.979 0.546 0.191
O5 0.021 0.454 0.809
O6 0.283 0.979 0.191
O7 0.717 0.021 0.809
O8 0.454 0.717 0.809

Summary:
Formation energy from raw total energies ... -1.043 eV/atom
SG ... No. 148
Mass density ... 4.3 Mg/m³

Entry 5:
# CdAg2SO6

An optimized crystal structure of CdAg2SO6 (PBE-GGA, the Alexandria database).

Cell: 5.728 5.628 5.628 Å, 120.00 90.00 90.00°
Positions (direct):
Cd1 0.500 0.000 0.000
Ag1 0.041 0.333 0.667
Ag2 0.959 0.667 0.333
S1 0.000 0.000 0.000
O1 0.826 0.139 0.278
O2 0.826 0.139 0.861
O3 0.826 0.722 0.861
O4 0.174 0.861 0.139
O5 0.174 0.278 0.139
O6 0.174 0.861 0.722

Summary:
Formation energy from raw total energies ... -0.361 eV/atom
SG ... No. 164
Mass density ... 4.8 Mg/m³

Entry 6:
# CdAgSeO4

An optimized crystal structure of CdAgSeO4 (PBE-GGA, the Alexandria database).

Cell: 5.771 5.771 5.661 Å, 120.65 120.65 90.00°
Positions (direct):
Cd1 0.500 0.500 0.000
Ag1 0.000 0.000 0.000
Se1 0.250 0.750 0.500
O1 0.206 0.065 0.750
O2 0.316 0.794 0.250
O3 0.543 0.684 0.750
O4 0.935 0.457 0.250

Summary:
Formation energy from raw total energies ... -0.538 eV/atom
SG ... No. 82
Mass density ... 4.6 Mg/m³